Record 1
## BaSrRe (GGA-PBE)

Data for a geometry-optimized BaSrRe structure.

Computed properties:
Offset from the most stable computed form, eV per atom: 0.0000
Calculated formation energy, meV/atom: 1077.6
DOS at the Fermi energy, states/eV/f.u.: 3.7
Calculated total energy, eV per atom: -4.27

abc: 3.3131 3.8695 15.7465
angles: 90.00 90.00 90.00
With the nearest neighbours (Å) after each atom.
Space group Imm2 (No. 44)
Asymmetric unit:
Ba 0.0000 0.0000 0.0000 [2 per cell]  4 Re 3.27, 2 Ba 3.31
Sr 0.0000 0.0000 0.2501 [2 per cell]  4 Re 3.17, 2 Sr 3.31
Re 0.0000 0.0000 0.6298 [2 per cell]  4 Sr 3.17, 4 Ba 3.27, 2 Re 3.31



Record 2
## BaSr2Re (GGA-PBE)

Data for a geometry-optimized BaSr2Re structure.

Computed properties:
Offset from the most stable computed form, eV per atom: 0.1704
Calculated formation energy, meV/atom: 1015.2
DOS at the Fermi energy, states/eV/f.u.: 7.5
Calculated total energy, eV per atom: -3.42

abc: 8.1076 8.1076 8.1076
angles: 90.00 90.00 90.00
With the nearest neighbours (Å) after each atom.
Space group Fm-3m (No. 225)
Asymmetric unit:
Ba 0.0000 0.0000 0.0000 [4 per cell]  8 Sr 3.51
Sr 0.2500 0.2500 0.2500 [8 per cell]  4 Re 3.51, 4 Ba 3.51
Re 0.0000 0.0000 0.5000 [4 per cell]  8 Sr 3.51



Record 3
## BaSrRe2 (GGA-PBE)

Data for a geometry-optimized BaSrRe2 structure.

Computed properties:
Offset from the most stable computed form, eV per atom: 0.8928
Calculated formation energy, meV/atom: 1479.9
DOS at the Fermi energy, states/eV/f.u.: 3.9
Calculated total energy, eV per atom: -5.65

abc: 2.9048 2.9048 10.9035
angles: 90.00 90.00 90.00
With the nearest neighbours (Å) after each atom.
Space group P4/mmm (No. 123)
Asymmetric unit:
Ba 0.0000 0.0000 0.0000 [1 per cell]  4 Ba 2.90
Sr 0.0000 0.0000 0.5000 [1 per cell]  4 Sr 2.90
Re 0.5000 0.5000 0.2608 [2 per cell]  4 Re 2.90



Record 4
## BaSrRe2 (GGA-PBE)

Data for a geometry-optimized BaSrRe2 structure.

Computed properties:
Offset from the most stable computed form, eV per atom: 1.0392
Calculated formation energy, meV/atom: 1626.3
DOS at the Fermi energy, states/eV/f.u.: 4.6
Calculated total energy, eV per atom: -5.50

abc: 3.0341 3.0341 34.0700
angles: 90.00 90.00 120.00
With the nearest neighbours (Å) after each atom.
Space group R-3m (No. 166, hexagonal axes)
Asymmetric unit:
Ba 0.0000 0.0000 0.0000 [3 per cell]  6 Ba 3.03
Sr 0.0000 0.0000 0.5000 [3 per cell]  6 Sr 3.03, 6 Re 3.22
Re 0.0000 0.0000 0.2461 [6 per cell]  6 Re 3.03, 3 Sr 3.22



Record 5
## BaSr2Re (GGA-PBE)

Data for a geometry-optimized BaSr2Re structure.

Computed properties:
Offset from the most stable computed form, eV per atom: 0.1560
Calculated formation energy, meV/atom: 1000.8
DOS at the Fermi energy, states/eV/f.u.: 5.8
Calculated total energy, eV per atom: -3.43

abc: 5.2744 5.2744 9.5114
angles: 90.00 90.00 90.00
With the nearest neighbours (Å) after each atom.
Space group I4/mmm (No. 139)
Asymmetric unit:
Ba 0.0000 0.0000 0.0000 [2 per cell]  8 Sr 3.55, 4 Re 3.73
Sr 0.0000 0.5000 0.2500 [4 per cell]  4 Ba 3.55, 4 Re 3.55, 4 Sr 3.73
Re 0.0000 0.0000 0.5000 [2 per cell]  8 Sr 3.55, 4 Ba 3.73



Record 6
## BaSr2Re (GGA-PBE)

Data for a geometry-optimized BaSr2Re structure.

Computed properties:
Offset from the most stable computed form, eV per atom: 0.0006
Calculated formation energy, meV/atom: 845.4
DOS at the Fermi energy, states/eV/f.u.: 4.1
Calculated total energy, eV per atom: -3.59

abc: 3.7346 3.7346 11.0716
angles: 90.00 90.00 90.00
With the nearest neighbours (Å) after each atom.
Space group P4/mmm (No. 123)
Asymmetric unit:
Ba 0.0000 0.0000 0.0000 [1 per cell]  4 Ba 3.73
Sr 0.5000 0.5000 0.3300 [2 per cell]  4 Re 3.24
Re 0.0000 0.0000 0.5000 [1 per cell]  8 Sr 3.24



Record 7
## BaSrTl2Re (GGA-PBE)

Data for a geometry-optimized BaSrTl2Re structure.

Computed properties:
Calculated formation energy, meV/atom: 450.9
DOS at the Fermi energy, states/eV/f.u.: 3.7
Calculated total energy, eV per atom: -3.71

abc: 5.5227 5.5227 5.5528
angles: 90.00 90.00 90.00
With the nearest neighbours (Å) after each atom.
Space group P4/mmm (No. 123)
Asymmetric unit:
Ba 0.0000 0.0000 0.0000 [1 per cell]  2 Re 2.78
Sr 0.5000 0.5000 0.0000 [1 per cell]  4 Ba 3.91, 8 Tl 3.92
Tl 0.0000 0.5000 0.5000 [2 per cell]  2 Re 2.76
Re 0.0000 0.0000 0.5000 [1 per cell]  4 Tl 2.76, 2 Ba 2.78



Record 8
## Ba2TaRe (GGA-PBE)

Data for a geometry-optimized Ba2TaRe structure.

Computed properties:
Offset from the most stable computed form, eV per atom: 0.9510
Calculated formation energy, meV/atom: 1460.8
DOS at the Fermi energy, states/eV/f.u.: 4.1
Calculated total energy, eV per atom: -5.58

abc: 3.0261 5.6967 6.0338
angles: 90.00 90.17 90.00
With the nearest neighbours (Å) after each atom.
Space group P2/m (No. 10)
Asymmetric unit:
Ba 0.0006 0.0000 0.2520 [2 per cell]  4 Ba 2.99-3.04
Ta 0.5000 0.5000 0.0000 [1 per cell]  2 Re 3.02, 2 Ta 3.03
Re 0.5000 0.5000 0.5000 [1 per cell]  2 Ta 3.02, 2 Re 3.03



Record 9
## Ba2TaRe (GGA-PBE)

Data for a geometry-optimized Ba2TaRe structure.

Computed properties:
Offset from the most stable computed form, eV per atom: 1.1211
Calculated formation energy, meV/atom: 1630.9
DOS at the Fermi energy, states/eV/f.u.: 5.4
Calculated total energy, eV per atom: -5.41

abc: 3.1093 3.1093 36.9921
angles: 90.00 90.00 120.00
With the nearest neighbours (Å) after each atom.
Space group R-3m (No. 166, hexagonal axes)
Asymmetric unit:
Ba 0.0000 0.0000 0.2452 [6 per cell]  6 Ba 3.11, 3 Re 3.42
Ta 0.0000 0.0000 0.0000 [3 per cell]  6 Ta 3.11
Re 0.0000 0.0000 0.5000 [3 per cell]  6 Re 3.11, 6 Ba 3.42



Record 10
## Ba3TaRe (GGA-PBE)

Data for a geometry-optimized Ba3TaRe structure.

Computed properties:
Calculated formation energy, meV/atom: 1957.4
DOS at the Fermi energy, states/eV/f.u.: 7.8
Calculated total energy, eV per atom: -4.06

abc: 6.0041 6.0041 6.0041
angles: 90.00 90.00 90.00
With the nearest neighbours (Å) after each atom.
Space group Pm-3m (No. 221)
Asymmetric unit:
Ba 0.0000 0.0000 0.5000 [3 per cell]  2 Ta 3.00
Ta 0.0000 0.0000 0.0000 [1 per cell]  6 Ba 3.00
Re 0.5000 0.5000 0.5000 [1 per cell]  12 Ba 4.25



Record 11
## Ba2TaRe (GGA-PBE)

Data for a geometry-optimized Ba2TaRe structure.

Computed properties:
Offset from the most stable computed form, eV per atom: 0.0199
Calculated formation energy, meV/atom: 529.7
DOS at the Fermi energy, states/eV/f.u.: 5.3
Calculated total energy, eV per atom: -6.51

abc: 3.4591 3.5376 10.3693
angles: 90.00 99.39 90.00
With the nearest neighbours (Å) after each atom.
Space group Pm (No. 6)
Asymmetric unit:
Ba 0.0000 0.0000 0.0000 [1 per cell]  4 Ba 3.46-3.54, 1 Ta 3.48, 4 Re 3.51-3.52
Ba 0.2026 0.5000 0.3880 [1 per cell]  4 Ba 3.46-3.54, 4 Ta 3.72, 1 Re 3.76
Ta 0.8347 0.0000 0.6595 [1 per cell]  4 Re 2.66
Re 0.3816 0.5000 0.7558 [1 per cell]  4 Ta 2.66



Record 12
## BaTa3Re (GGA-PBE)

Data for a geometry-optimized BaTa3Re structure.

Computed properties:
Calculated formation energy, meV/atom: 1102.4
DOS at the Fermi energy, states/eV/f.u.: 7.5
Calculated total energy, eV per atom: -8.88

abc: 5.0313 5.0313 5.0313
angles: 90.00 90.00 90.00
With the nearest neighbours (Å) after each atom.
Space group Pm-3m (No. 221)
Asymmetric unit:
Ba 0.0000 0.0000 0.0000 [1 per cell]  12 Ta 3.56
Ta 0.0000 0.5000 0.5000 [3 per cell]  2 Re 2.52
Re 0.5000 0.5000 0.5000 [1 per cell]  6 Ta 2.52